(1)
# KYRh2

An optimized crystal structure of KYRh2 (PBE-GGA, the Alexandria database).

Calculated values
**Energy**: -5.24 eV/atom
**Excess energy over the best structure of this formula in the dataset**: 390 meV per atom
**DOS at the Fermi energy**: 0.891 states/eV per atom

POSCAR file:
```
KYRh2
1.0
4.202 0.000 0.000
0.000 4.202 0.000
0.000 0.000 9.415
K Y Rh
2 2 4
direct
0.000 0.000 0.000 K
0.500 0.500 0.500 K
0.000 0.500 0.250 Y
0.500 0.000 0.750 Y
0.000 0.000 0.500 Rh
0.000 0.500 0.750 Rh
0.500 0.000 0.250 Rh
0.500 0.500 0.000 Rh
```

=====

(2)
# KYRh2

An optimized crystal structure of KYRh2 (PBE-GGA, the Alexandria database).

Calculated values
**Energy**: -5.16 eV/atom
**Excess energy over the best structure of this formula in the dataset**: 473 meV per atom
**DOS at the Fermi energy**: 0.523 states/eV per atom

POSCAR file:
```
KYRh2
1.0
5.114 0.000 0.000
0.000 5.114 0.000
0.000 0.000 18.032
K Y Rh
4 4 8
direct
0.000 0.000 0.000 K
0.000 0.500 0.250 K
0.500 0.000 0.750 K
0.500 0.500 0.500 K
0.000 0.000 0.500 Y
0.000 0.500 0.750 Y
0.500 0.000 0.250 Y
0.500 0.500 0.000 Y
0.085 0.250 0.625 Rh
0.250 0.585 0.875 Rh
0.250 0.915 0.375 Rh
0.415 0.250 0.125 Rh
0.585 0.750 0.125 Rh
0.750 0.085 0.375 Rh
0.750 0.415 0.875 Rh
0.915 0.750 0.625 Rh
```

=====

(3)
# KYRh2

An optimized crystal structure of KYRh2 (PBE-GGA, the Alexandria database).

Calculated values
**Energy**: -5.48 eV/atom
**Excess energy over the best structure of this formula in the dataset**: 146 meV per atom
**DOS at the Fermi energy**: 0.577 states/eV per atom

POSCAR file:
```
KYRh2
1.0
3.352 0.000 0.000
-1.676 2.903 0.000
0.000 0.000 27.677
K Y Rh
3 3 6
direct
0.000 0.000 0.000 K
0.333 0.667 0.667 K
0.667 0.333 0.333 K
0.000 0.000 0.500 Y
0.333 0.667 0.167 Y
0.667 0.333 0.833 Y
0.000 0.000 0.239 Rh
0.000 0.000 0.761 Rh
0.333 0.667 0.428 Rh
0.333 0.667 0.906 Rh
0.667 0.333 0.094 Rh
0.667 0.333 0.572 Rh
```

=====

(4)
# KY2Rh

An optimized crystal structure of KY2Rh (PBE-GGA, the Alexandria database).

Calculated values
**Energy**: -5.21 eV/atom
**Excess energy over the best structure of this formula in the dataset**: 437 meV per atom
**DOS at the Fermi energy**: 0.843 states/eV per atom

POSCAR file:
```
KY2Rh
1.0
8.689 0.000 0.000
0.000 8.689 0.000
0.000 0.000 7.135
K Y Rh
4 8 4
direct
0.000 0.000 0.000 K
0.000 0.500 0.250 K
0.500 0.000 0.750 K
0.500 0.500 0.500 K
0.151 0.250 0.625 Y
0.250 0.651 0.875 Y
0.250 0.849 0.375 Y
0.349 0.250 0.125 Y
0.651 0.750 0.125 Y
0.750 0.151 0.375 Y
0.750 0.349 0.875 Y
0.849 0.750 0.625 Y
0.000 0.000 0.500 Rh
0.000 0.500 0.750 Rh
0.500 0.000 0.250 Rh
0.500 0.500 0.000 Rh
```

=====

(5)
# KY2Rh

An optimized crystal structure of KY2Rh (PBE-GGA, the Alexandria database).

Calculated values
**Energy**: -4.99 eV/atom
**Excess energy over the best structure of this formula in the dataset**: 663 meV per atom
**DOS at the Fermi energy**: 0.892 states/eV per atom

POSCAR file:
```
KY2Rh
1.0
4.336 0.000 0.000
0.000 4.336 0.000
0.000 0.000 11.083
K Y Rh
2 4 2
direct
0.000 0.000 0.000 K
0.500 0.500 0.500 K
0.000 0.000 0.500 Y
0.000 0.500 0.250 Y
0.500 0.000 0.750 Y
0.500 0.500 0.000 Y
0.000 0.500 0.750 Rh
0.500 0.000 0.250 Rh
```

=====

(6)
# KY2Rh

An optimized crystal structure of KY2Rh (PBE-GGA, the Alexandria database).

Calculated values
**Energy**: -5.18 eV/atom
**Excess energy over the best structure of this formula in the dataset**: 474 meV per atom
**DOS at the Fermi energy**: 1.146 states/eV per atom

POSCAR file:
```
KY2Rh
1.0
7.401 0.000 0.000
0.000 7.401 0.000
0.000 0.000 7.401
K Y Rh
4 8 4
direct
0.000 0.000 0.000 K
0.000 0.500 0.500 K
0.500 0.000 0.500 K
0.500 0.500 0.000 K
0.250 0.250 0.250 Y
0.250 0.250 0.750 Y
0.250 0.750 0.250 Y
0.250 0.750 0.750 Y
0.750 0.250 0.250 Y
0.750 0.250 0.750 Y
0.750 0.750 0.250 Y
0.750 0.750 0.750 Y
0.000 0.000 0.500 Rh
0.000 0.500 0.000 Rh
0.500 0.000 0.000 Rh
0.500 0.500 0.500 Rh
```

=====

(7)
# KYRh2

An optimized crystal structure of KYRh2 (PBE-GGA, the Alexandria database).

Calculated values
**Energy**: -5.48 eV/atom
**Excess energy over the best structure of this formula in the dataset**: 148 meV per atom
**DOS at the Fermi energy**: 1.290 states/eV per atom

POSCAR file:
```
KYRh2
1.0
3.511 0.000 0.000
0.000 3.511 0.000
0.000 0.000 8.848
K Y Rh
1 1 2
direct
0.000 0.000 0.000 K
0.500 0.500 0.569 Y
0.000 0.000 0.388 Rh
0.500 0.500 0.281 Rh
```

=====

(8)
# KY2Rh

An optimized crystal structure of KY2Rh (PBE-GGA, the Alexandria database).

Calculated values
**Energy**: -5.36 eV/atom
**Excess energy over the best structure of this formula in the dataset**: 295 meV per atom
**DOS at the Fermi energy**: 0.673 states/eV per atom

POSCAR file:
```
KY2Rh
1.0
3.805 0.000 0.000
0.000 6.316 0.000
0.000 0.000 10.480
K Y Rh
2 4 2
direct
0.000 0.000 0.000 K
0.500 0.500 0.500 K
0.000 0.500 0.182 Y
0.000 0.500 0.818 Y
0.500 0.000 0.318 Y
0.500 0.000 0.682 Y
0.000 0.000 0.500 Rh
0.500 0.500 0.000 Rh
```

=====

no.,ΔH_f (0 K) (eV/atom)
1,0.327
2,0.409
3,0.083
4,0.130
5,0.356
6,0.167
7,0.085
8,-0.012